Entry 1:
VASP calculation (GGA-PBE) on an optimized crystal structure of RbBa3Mg.

Calculated values
DOS at the Fermi energy ... 6.18 states/eV/f.u.
E_form ... 159 meV/atom
Space group ... Pm-3m

```
5
Lattice="7.032 0.000 0.000 0.000 7.032 0.000 0.000 0.000 7.032" Properties=species:S:1:pos:R:3 pbc="T T T"
Mg 0.000 0.000 0.000
Ba 0.000 3.516 0.000
Ba 0.000 0.000 3.516
Ba 3.516 0.000 0.000
Rb 3.516 3.516 3.516
```

***

Entry 2:
VASP calculation (GGA-PBE) on an optimized crystal structure of Pm3Ho5Tm3.

Calculated values
DOS at the Fermi energy ... 15.52 states/eV/f.u.
E_form ... 827 meV/atom
Space group ... P-62m

```
11
Lattice="-3.062 -2.386 -3.666 3.262 -8.607 2.877 -7.862 3.793 4.099" Properties=species:S:1:pos:R:3 pbc="T T T"
Pm -4.438 -4.236 2.576
Pm -4.424 0.203 -0.324
Pm -0.331 -4.360 -0.774
Ho -5.685 -1.533 1.859
Ho -1.977 -5.667 1.451
Ho -2.721 -2.439 -0.028
Ho -7.359 1.619 1.206
Ho 0.887 -7.573 0.299
Tm -2.058 -2.154 3.121
Tm 1.803 -4.757 1.590
Tm -4.345 2.096 2.265
```

***

Entry 3:
VASP calculation (GGA-PBE) on an optimized crystal structure of CaGa2PtRh.

Calculated values
DOS at the Fermi energy ... 1.54 states/eV/f.u.
E_form ... -784 meV/atom
Space group ... I-4m2

```
5
Lattice="4.213 0.000 0.000 0.000 4.213 0.000 -2.107 -2.107 5.272" Properties=species:S:1:pos:R:3 pbc="T T T"
Ca 0.000 0.000 0.000
Ga 2.107 2.107 1.291
Ga 0.000 0.000 3.981
Pt 2.107 0.000 2.636
Rh 0.000 2.107 2.636
```